# 1
Compound: CrIrRh2
Source: Alexandria
Functional: PBEsol
Structure: relaxed

Cell: 4.560 2.671 4.578 Å, 90.00 109.04 90.00°
Atoms (fractional coordinates):
Cr 0.000 0.000 0.000
Ir 0.500 0.500 0.000
Rh 0.000 0.500 0.500
Rh 0.500 0.000 0.500

Summary:
As for the space group: P2/m (10). The total energy comes out at -9.172 eV per atom. Its formation energy is -0.09 eV/atom. The density of states at the Fermi level is 4.0 states/eV/cell.

# 2
Compound: CrIrRh2
Source: Alexandria
Functional: PBEsol
Structure: relaxed

Cell: 4.270 4.270 4.270 Å, 60.00 60.00 60.00°
Atoms (fractional coordinates):
Cr 0.000 0.000 0.000
Ir 0.500 0.500 0.500
Rh 0.250 0.250 0.250
Rh 0.750 0.750 0.750

Summary:
As for the space group: Fm-3m (225). The total energy comes out at -8.733 eV per atom. Its formation energy is 0.35 eV/atom. The density of states at the Fermi level is 7.8 states/eV/cell.

# 3
Compound: CrIrRh2
Source: Alexandria
Functional: PBEsol
Structure: relaxed

Cell: 4.576 4.576 4.576 Å, 131.56 131.56 70.92°
Atoms (fractional coordinates):
Cr 0.000 0.000 0.000
Ir 0.250 0.750 0.500
Rh 0.500 0.500 0.000
Rh 0.750 0.250 0.500

Summary:
As for the space group: I-4m2 (119). The total energy comes out at -9.191 eV per atom. Its formation energy is -0.11 eV/atom. The density of states at the Fermi level is 4.4 states/eV/cell.

# 4
Compound: CrIrRh2
Source: Alexandria
Functional: PBEsol
Structure: relaxed

Cell: 8.764 8.764 8.764 Å, 17.39 17.39 17.39°
Atoms (fractional coordinates):
Cr 0.000 0.000 0.000
Ir 0.500 0.500 0.500
Rh 0.254 0.254 0.254
Rh 0.746 0.746 0.746

Summary:
As for the space group: R-3m (166). The total energy comes out at -9.102 eV per atom. Its formation energy is -0.02 eV/atom. The density of states at the Fermi level is 4.5 states/eV/cell.

# 5
Compound: CrIrRh2
Source: Alexandria
Functional: PBEsol
Structure: relaxed

Cell: 2.668 4.226 4.637 Å, 90.00 90.00 90.00°
Atoms (fractional coordinates):
Cr 0.000 0.000 0.000
Ir 0.000 0.500 0.678
Rh 0.500 0.000 0.505
Rh 0.500 0.500 0.170

Summary:
As for the space group: Pmm2 (25). The total energy comes out at -9.200 eV per atom. Its formation energy is -0.11 eV/atom. The density of states at the Fermi level is 3.8 states/eV/cell.

# 6
Compound: CrIrRh2
Source: Alexandria
Functional: PBEsol
Structure: relaxed

Cell: 4.605 4.605 4.605 Å, 132.21 132.21 69.90°
Atoms (fractional coordinates):
Cr 0.000 0.000 0.000
Ir 0.500 0.500 0.000
Rh 0.250 0.750 0.500
Rh 0.750 0.250 0.500

Summary:
As for the space group: I4/mmm (139). The total energy comes out at -9.191 eV per atom. Its formation energy is -0.11 eV/atom. The density of states at the Fermi level is 3.6 states/eV/cell.

# 7
Compound: CrSn2IrRh
Source: Alexandria
Functional: PBEsol
Structure: relaxed

Cell: 4.820 4.820 4.261 Å, 90.00 90.00 90.00°
Atoms (fractional coordinates):
Cr 0.000 0.000 0.000
Sn 0.000 0.500 0.000
Sn 0.500 0.000 0.000
Ir 0.500 0.500 0.500
Rh 0.000 0.000 0.500

Summary:
As for the space group: P4/mmm (123). The total energy comes out at -6.188 eV per atom. Its formation energy is 1.16 eV/atom. The density of states at the Fermi level is 7.1 states/eV/cell.

# 8
Compound: Cr2IrRu
Source: Alexandria
Functional: PBEsol
Structure: relaxed

Cell: 4.485 4.485 2.628 Å, 90.00 90.00 108.00°
Atoms (fractional coordinates):
Cr 0.000 0.500 0.000
Cr 0.500 0.000 0.000
Ir 0.000 0.000 0.500
Ru 0.500 0.500 0.500

Summary:
As for the space group: Cmmm (65). The total energy comes out at -10.139 eV per atom. Its formation energy is -0.02 eV/atom. The density of states at the Fermi level is 4.9 states/eV/cell.

# 9
Compound: CrIrRu2
Source: Alexandria
Functional: PBEsol
Structure: relaxed

Cell: 8.714 8.714 8.714 Å, 17.52 17.52 17.52°
Atoms (fractional coordinates):
Cr 0.000 0.000 0.000
Ir 0.500 0.500 0.500
Ru 0.254 0.254 0.254
Ru 0.746 0.746 0.746

Summary:
The calculation puts the energy above the most stable polymorph in this dataset at 118 meV/atom. As for the space group: R-3m (166). The total energy comes out at -10.020 eV per atom. Its formation energy is 0.08 eV/atom. The density of states at the Fermi level is 4.9 states/eV/cell.

# 10
Compound: Cr2IrRu
Source: Alexandria
Functional: PBEsol
Structure: relaxed

Cell: 2.631 3.624 5.272 Å, 90.00 90.00 90.00°
Atoms (fractional coordinates):
Cr 0.000 0.000 0.245
Cr 0.000 0.000 0.755
Ir 0.500 0.500 0.500
Ru 0.500 0.500 0.000

Summary:
As for the space group: Pmmm (47). The total energy comes out at -10.139 eV per atom. Its formation energy is -0.02 eV/atom. The density of states at the Fermi level is 4.7 states/eV/cell.

# 11
Compound: CrIr2Ru
Source: Alexandria
Functional: PBEsol
Structure: relaxed

Cell: 2.676 4.232 4.648 Å, 90.00 90.00 90.00°
Atoms (fractional coordinates):
Cr 0.000 0.000 0.000
Ir 0.500 0.000 0.486
Ir 0.500 0.500 0.831
Ru 0.000 0.500 0.320

Summary:
The calculation puts the energy above the most stable polymorph in this dataset at 0 meV/atom. As for the space group: Pmm2 (25). The total energy comes out at -10.205 eV per atom. Its formation energy is -0.19 eV/atom. The density of states at the Fermi level is 2.8 states/eV/cell.

# 12
Compound: CrIr3Ru
Source: Alexandria
Functional: PBEsol
Structure: relaxed

Cell: 4.609 4.609 4.609 Å, 90.00 90.00 90.00°
Atoms (fractional coordinates):
Cr 0.000 0.000 0.000
Ir 0.000 0.500 0.500
Ir 0.500 0.000 0.500
Ir 0.500 0.500 0.000
Ru 0.500 0.500 0.500

Summary:
As for the space group: Pm-3m (221). The total energy comes out at -7.932 eV per atom. Its formation energy is 2.04 eV/atom. The density of states at the Fermi level is 6.2 states/eV/cell.

Please write out number 6 again, unchanged.
Compound: CrIrRh2
Source: Alexandria
Functional: PBEsol
Structure: relaxed

Cell: 4.605 4.605 4.605 Å, 132.21 132.21 69.90°
Atoms (fractional coordinates):
Cr 0.000 0.000 0.000
Ir 0.500 0.500 0.000
Rh 0.250 0.750 0.500
Rh 0.750 0.250 0.500

Summary:
As for the space group: I4/mmm (139). The total energy comes out at -9.191 eV per atom. Its formation energy is -0.11 eV/atom. The density of states at the Fermi level is 3.6 states/eV/cell.

What is the formula in the sixth record? CrIrRh2